Record 1
PBE Nd2HfN3, relaxed; VASP energy = -53.49 eV for the cell shown; theoretical density = 9.51 g/cm³; size of the total moment = 0.00 μB/atom
1.0
3.434 0.000 0.000
-1.717 2.974 0.000
0.000 0.000 8.702
Nd Hf N
2 1 3
Direct
0.333 0.667 0.328 Nd
0.667 0.333 0.672 Nd
0.000 0.000 0.000 Hf
0.000 0.000 0.500 N
0.333 0.667 0.866 N
0.667 0.333 0.134 N



Record 2
PBE Hf2NiN, relaxed; VASP energy = -225.84 eV for the cell shown; theoretical density = 12.46 g/cm³; size of the total moment = 0.00 μB/atom
1.0
4.739 -2.728 0.000
4.739 2.728 0.000
-3.241 0.000 13.283
Hf Ni N
12 6 6
Direct
0.039 0.876 0.615 Hf
0.124 0.961 0.885 Hf
0.197 0.362 0.093 Hf
0.298 0.472 0.407 Hf
0.362 0.197 0.593 Hf
0.472 0.298 0.907 Hf
0.528 0.702 0.093 Hf
0.638 0.803 0.407 Hf
0.702 0.528 0.593 Hf
0.803 0.638 0.907 Hf
0.876 0.039 0.115 Hf
0.961 0.124 0.385 Hf
0.086 0.361 0.750 Ni
0.361 0.086 0.250 Ni
0.452 0.548 0.250 Ni
0.548 0.452 0.750 Ni
0.639 0.914 0.750 Ni
0.914 0.639 0.250 Ni
0.000 0.500 0.500 N
0.162 0.676 0.000 N
0.324 0.838 0.500 N
0.500 0.000 0.000 N
0.676 0.162 0.500 N
0.838 0.324 0.000 N



Record 3
PBE Hf4NiN3, relaxed; VASP energy = -162.47 eV for the cell shown; theoretical density = 13.06 g/cm³; size of the total moment = 0.00 μB/atom
1.0
3.197 0.000 0.000
-1.598 2.768 0.000
0.000 0.000 23.418
Hf Ni N
8 2 6
Direct
0.000 0.000 0.168 Hf
0.000 0.000 0.332 Hf
0.000 0.000 0.668 Hf
0.000 0.000 0.832 Hf
0.333 0.667 0.057 Hf
0.333 0.667 0.443 Hf
0.667 0.333 0.557 Hf
0.667 0.333 0.943 Hf
0.333 0.667 0.250 Ni
0.667 0.333 0.750 Ni
0.000 0.000 0.000 N
0.000 0.000 0.500 N
0.333 0.667 0.611 N
0.333 0.667 0.889 N
0.667 0.333 0.111 N
0.667 0.333 0.389 N



Record 4
PBE Hf2NiN, relaxed; VASP energy = -75.21 eV for the cell shown; theoretical density = 12.42 g/cm³; size of the total moment = 0.00 μB/atom
1.0
3.200 0.000 0.000
-1.600 2.771 0.000
0.000 0.000 12.958
Hf Ni N
4 2 2
Direct
0.333 0.667 0.102 Hf
0.333 0.667 0.398 Hf
0.667 0.333 0.602 Hf
0.667 0.333 0.898 Hf
0.333 0.667 0.750 Ni
0.667 0.333 0.250 Ni
0.000 0.000 0.000 N
0.000 0.000 0.500 N



Record 5
PBE Hf3NiN2, relaxed; VASP energy = -118.97 eV for the cell shown; theoretical density = 12.80 g/cm³; size of the total moment = 0.00 μB/atom
1.0
3.206 0.000 0.000
-1.603 2.777 0.000
0.000 0.000 18.133
Hf Ni N
6 2 4
Direct
0.000 0.000 0.000 Hf
0.000 0.000 0.500 Hf
0.333 0.667 0.146 Hf
0.333 0.667 0.354 Hf
0.667 0.333 0.646 Hf
0.667 0.333 0.854 Hf
0.000 0.000 0.250 Ni
0.000 0.000 0.750 Ni
0.333 0.667 0.572 N
0.333 0.667 0.928 N
0.667 0.333 0.072 N
0.667 0.333 0.428 N



Record 6
PBE Hf4NiPN2, relaxed; VASP energy = -76.90 eV for the cell shown; theoretical density = 11.93 g/cm³; size of the total moment = 0.00 μB/atom
1.0
3.279 0.000 0.000
-1.639 2.840 0.000
0.000 0.000 12.437
Hf Ni P N
4 1 1 2
Direct
0.000 0.000 0.143 Hf
0.000 0.000 0.857 Hf
0.333 0.667 0.347 Hf
0.333 0.667 0.653 Hf
0.000 0.000 0.500 Ni
0.333 0.667 0.000 P
0.667 0.333 0.245 N
0.667 0.333 0.755 N



Record 7
PBE Hf4NiPN2, relaxed; VASP energy = -76.90 eV for the cell shown; theoretical density = 11.91 g/cm³; size of the total moment = 0.00 μB/atom
1.0
3.281 0.000 0.000
-1.640 2.841 0.000
0.000 0.000 12.443
Hf Ni P N
4 1 1 2
Direct
0.000 0.000 0.143 Hf
0.000 0.000 0.857 Hf
0.667 0.333 0.347 Hf
0.667 0.333 0.653 Hf
0.000 0.000 0.500 Ni
0.667 0.333 0.000 P
0.333 0.667 0.245 N
0.333 0.667 0.755 N



Record 8
PBE Hf3Ni2Pd2N4, relaxed; VASP energy = -91.37 eV for the cell shown; theoretical density = 10.51 g/cm³; size of the total moment = 0.00 μB/atom
1.0
5.892 0.000 0.000
0.000 3.067 0.000
-1.433 0.000 8.060
Hf Ni Pd N
3 2 2 4
Direct
0.000 0.000 0.000 Hf
0.140 0.500 0.407 Hf
0.458 0.000 0.867 Hf
0.115 0.500 0.706 Ni
0.797 0.000 0.689 Ni
0.530 0.000 0.425 Pd
0.676 0.500 0.189 Pd
0.252 0.500 0.963 N
0.259 0.000 0.616 N
0.739 0.500 0.881 N
0.999 0.000 0.251 N



Record 9
PBE HfZr2Ni2Pd2N4, relaxed; VASP energy = -87.91 eV for the cell shown; theoretical density = 8.39 g/cm³; size of the total moment = 0.00 μB/atom
1.0
5.945 0.000 0.000
0.000 3.090 0.000
-1.477 0.000 8.051
Hf Zr Ni Pd N
1 2 2 2 4
Direct
0.000 0.000 0.000 Hf
0.352 0.500 0.455 Zr
0.897 0.500 0.595 Zr
0.008 0.000 0.304 Ni
0.688 0.500 0.282 Ni
0.391 0.500 0.023 Pd
0.548 0.000 0.790 Pd
0.135 0.500 0.204 N
0.151 0.000 0.559 N
0.640 0.000 0.450 N
0.860 0.500 0.843 N



Record 10
PBE Hf4NiSN2, relaxed; VASP energy = -76.14 eV for the cell shown; theoretical density = 12.07 g/cm³; size of the total moment = 0.00 μB/atom
1.0
3.246 0.000 0.000
-1.623 2.811 0.000
0.000 0.000 12.556
Hf Ni S N
4 1 1 2
Direct
0.000 0.000 0.144 Hf
0.000 0.000 0.856 Hf
0.333 0.667 0.348 Hf
0.333 0.667 0.652 Hf
0.000 0.000 0.500 Ni
0.333 0.667 0.000 S
0.667 0.333 0.247 N
0.667 0.333 0.753 N



Record 11
PBE Hf4Ta2Ni3N3, relaxed; VASP energy = -230.82 eV for the cell shown; theoretical density = 12.84 g/cm³; size of the total moment = 0.00 μB/atom
1.0
4.754 -2.747 0.000
4.754 2.747 0.000
-3.155 0.000 12.812
Hf Ta Ni N
8 4 6 6
Direct
0.039 0.198 0.109 Hf
0.127 0.298 0.391 Hf
0.198 0.039 0.609 Hf
0.298 0.127 0.891 Hf
0.702 0.873 0.109 Hf
0.802 0.961 0.391 Hf
0.873 0.702 0.609 Hf
0.961 0.802 0.891 Hf
0.359 0.528 0.085 Ta
0.472 0.641 0.415 Ta
0.528 0.359 0.585 Ta
0.641 0.472 0.915 Ta
0.142 0.858 0.250 Ni
0.307 0.418 0.750 Ni
0.418 0.307 0.250 Ni
0.582 0.693 0.750 Ni
0.693 0.582 0.250 Ni
0.858 0.142 0.750 Ni
0.000 0.500 0.000 N
0.154 0.673 0.500 N
0.327 0.846 0.000 N
0.500 0.000 0.500 N
0.673 0.154 0.000 N
0.846 0.327 0.500 N



Record 12
PBE Hf2Ta4Ni3N3, relaxed; VASP energy = -236.11 eV for the cell shown; theoretical density = 13.39 g/cm³; size of the total moment = 0.00 μB/atom
1.0
4.614 -2.656 0.000
4.614 2.656 0.000
-3.087 0.000 13.145
Hf Ta Ni N
4 8 6 6
Direct
0.041 0.877 0.621 Hf
0.123 0.959 0.879 Hf
0.877 0.041 0.121 Hf
0.959 0.123 0.379 Hf
0.195 0.362 0.089 Ta
0.301 0.474 0.411 Ta
0.362 0.195 0.589 Ta
0.474 0.301 0.911 Ta
0.526 0.699 0.089 Ta
0.638 0.805 0.411 Ta
0.699 0.526 0.589 Ta
0.805 0.638 0.911 Ta
0.085 0.396 0.751 Ni
0.396 0.085 0.251 Ni
0.431 0.569 0.250 Ni
0.569 0.431 0.750 Ni
0.604 0.915 0.749 Ni
0.915 0.604 0.249 Ni
0.000 0.500 0.500 N
0.155 0.690 0.000 N
0.310 0.845 0.500 N
0.500 0.000 0.000 N
0.690 0.155 0.500 N
0.845 0.310 0.000 N



Record 13
PBE Hf4TlNiN2, relaxed; VASP energy = -71.80 eV for the cell shown; theoretical density = 13.24 g/cm³; size of the total moment = 0.00 μB/atom
1.0
3.236 0.000 0.000
-1.618 2.803 0.000
0.000 0.000 13.897
Hf Tl Ni N
4 1 1 2
Direct
0.000 0.000 0.140 Hf
0.000 0.000 0.860 Hf
0.667 0.333 0.322 Hf
0.667 0.333 0.678 Hf
0.000 0.000 0.500 Tl
0.667 0.333 0.000 Ni
0.333 0.667 0.233 N
0.333 0.667 0.767 N



Record 14
PBE Hf4Ni3W2N3, relaxed; VASP energy = -227.56 eV for the cell shown; theoretical density = 13.06 g/cm³; size of the total moment = 0.00 μB/atom
1.0
4.705 -2.702 0.000
4.705 2.702 0.000
-3.284 0.000 13.003
Hf Ni W N
8 6 4 6
Direct
0.019 0.207 0.093 Hf
0.144 0.305 0.407 Hf
0.207 0.019 0.593 Hf
0.305 0.144 0.907 Hf
0.695 0.856 0.093 Hf
0.793 0.981 0.407 Hf
0.856 0.695 0.593 Hf
0.981 0.793 0.907 Hf
0.005 0.995 0.250 Ni
0.172 0.413 0.749 Ni
0.413 0.172 0.249 Ni
0.587 0.828 0.751 Ni
0.828 0.587 0.251 Ni
0.995 0.005 0.750 Ni
0.384 0.546 0.147 W
0.454 0.616 0.353 W
0.546 0.384 0.647 W
0.616 0.454 0.853 W
0.000 0.500 0.000 N
0.163 0.668 0.500 N
0.332 0.837 0.000 N
0.500 0.000 0.500 N
0.668 0.163 0.000 N
0.837 0.332 0.500 N



Record 15
PBE Hf2Ni3W4N3, relaxed; VASP energy = -235.90 eV for the cell shown; theoretical density = 14.13 g/cm³; size of the total moment = 0.00 μB/atom
1.0
4.566 -2.658 0.000
4.566 2.658 0.000
-2.996 0.000 12.691
Hf Ni W N
4 6 8 6
Direct
0.039 0.876 0.622 Hf
0.124 0.961 0.878 Hf
0.876 0.039 0.122 Hf
0.961 0.124 0.378 Hf
0.082 0.379 0.749 Ni
0.379 0.082 0.249 Ni
0.453 0.547 0.250 Ni
0.547 0.453 0.750 Ni
0.621 0.918 0.751 Ni
0.918 0.621 0.251 Ni
0.195 0.370 0.084 W
0.317 0.461 0.416 W
0.370 0.195 0.584 W
0.461 0.317 0.916 W
0.539 0.683 0.084 W
0.630 0.805 0.416 W
0.683 0.539 0.584 W
0.805 0.630 0.916 W
0.000 0.500 0.500 N
0.145 0.712 0.000 N
0.288 0.855 0.500 N
0.500 0.000 0.000 N
0.712 0.145 0.500 N
0.855 0.288 0.000 N



Record 16
PBE Hf4ZnNiN2, relaxed; VASP energy = -70.92 eV for the cell shown; theoretical density = 11.99 g/cm³; size of the total moment = 0.00 μB/atom
1.0
3.202 0.000 0.000
-1.601 2.773 0.000
0.000 0.000 13.512
Hf Zn Ni N
4 1 1 2
Direct
0.000 0.000 0.145 Hf
0.000 0.000 0.855 Hf
0.333 0.667 0.335 Hf
0.333 0.667 0.665 Hf
0.000 0.000 0.500 Zn
0.333 0.667 0.000 Ni
0.667 0.333 0.242 N
0.667 0.333 0.758 N



Record 17
PBE Hf2ZrNi4N4, relaxed; VASP energy = -91.55 eV for the cell shown; theoretical density = 9.25 g/cm³; size of the total moment = 0.00 μB/atom
1.0
6.305 0.000 0.000
0.000 3.116 0.000
-0.831 0.000 6.750
Hf Zr Ni N
2 1 4 4
Direct
0.000 0.000 0.000 Hf
0.491 0.000 0.021 Hf
0.720 0.500 0.626 Zr
0.022 0.000 0.422 Ni
0.183 0.500 0.703 Ni
0.394 0.000 0.512 Ni
0.769 0.500 0.250 Ni
0.247 0.500 0.008 N
0.598 0.000 0.336 N
0.731 0.500 0.955 N
0.965 0.000 0.687 N



Record 18
PBE Hf2Zr4Ni3N3, relaxed; VASP energy = -212.77 eV for the cell shown; theoretical density = 8.80 g/cm³; size of the total moment = 0.00 μB/atom
1.0
4.897 -2.774 0.000
4.897 2.774 0.000
-3.255 0.000 13.062
Hf Zr Ni N
4 8 6 6
Direct
0.034 0.875 0.611 Hf
0.125 0.966 0.889 Hf
0.875 0.034 0.111 Hf
0.966 0.125 0.389 Hf
0.199 0.362 0.097 Zr
0.302 0.467 0.403 Zr
0.362 0.199 0.597 Zr
0.467 0.302 0.903 Zr
0.533 0.698 0.097 Zr
0.638 0.801 0.403 Zr
0.698 0.533 0.597 Zr
0.801 0.638 0.903 Zr
0.087 0.281 0.749 Ni
0.281 0.087 0.249 Ni
0.474 0.526 0.250 Ni
0.526 0.474 0.750 Ni
0.719 0.913 0.751 Ni
0.913 0.719 0.251 Ni
0.000 0.500 0.500 N
0.158 0.682 0.000 N
0.318 0.842 0.500 N
0.500 0.000 0.000 N
0.682 0.158 0.500 N
0.842 0.318 0.000 N